The following is a DFT calculation (PBE) of an optimized crystal structure of Hf2ZrTlH.

Values from the calculation:
As for the space-group type: No. 123. The calculation puts the energy at -6.88 eV per atom.

POSCAR file:
```
Hf2ZrTlH
1.0
4.2809 0.0000 0.0000
0.0000 4.2809 0.0000
0.0000 0.0000 5.0032
Hf Zr Tl H
2 1 1 1
direct
0.0000 0.5000 0.0000 Hf
0.5000 0.0000 0.0000 Hf
0.0000 0.0000 0.5000 Zr
0.5000 0.5000 0.5000 Tl
0.5000 0.5000 0.0000 H
```